1.
A geometry-optimized Th4CdRu structure, computed with PBE.

Unit cell a=13.9682 b=13.9682 c=13.9682 alpha=90.00 beta=90.00 gamma=90.00
Last column: nearest neighbours and their distance in Å.
Space group F-43m (No. 216)
One atom of each set of equivalent atoms:
Th  0.0000  0.0000  0.1826 (multiplicity 24)  2 Cd 3.41, 10 Th 3.61-3.69, 2 Ru 3.62
Th  0.0538  0.2500  0.7500 (multiplicity 24)  2 Ru 2.86
Th  0.0967  0.0967  0.4033 (multiplicity 16)  3 Ru 2.91
Cd  0.1722  0.1722  0.1722 (multiplicity 16)  3 Cd 3.07, 3 Th 3.41
Ru  0.1109  0.1109  0.6109 (multiplicity 16)  6 Th 2.86-2.91

2.
A geometry-optimized Ta2TlSnC structure, computed with PBE.

Unit cell a=5.1624 b=5.1624 c=5.5027 alpha=90.00 beta=90.00 gamma=90.00
Last column: nearest neighbours and their distance in Å.
Space group P4/mmm (No. 123)
One atom of each set of equivalent atoms:
Ta  0.0000  0.5000  0.0000 (multiplicity 2)  2 Sn 2.58
Tl  0.0000  0.0000  0.5000 (multiplicity 1)  2 Sn 2.75
Sn  0.0000  0.0000  0.0000 (multiplicity 1)  4 Ta 2.58, 2 Tl 2.75
C  0.5000  0.5000  0.5000 (multiplicity 1)  4 Tl 3.65, 8 Ta 3.77

In eV per atom, the formation enthalpy at 0 K values for the records above are, in order, -0.2275, 3.1654.